Entry 1:
Density functional theory data (GGA-PBE) for a relaxed PmMg2Cd crystal.

a = 4.874 Å, b = 4.605 Å, c = 4.605 Å
α = 90.00°, β = 90.00°, γ = 90.00°
Element x y z (fractional)
Cd (0.500, 0.000, 0.000)
Mg (0.000, 0.500, 0.000)
Mg (0.000, 0.000, 0.500)
Pm (0.500, 0.500, 0.500)

ΔE to the lowest computed polymorph = 0.249 eV per formula unit
Space group = P4/mmm (123)
Crystal system = tetragonal
Calculated formation energy = -0.166 eV per atom

Entry 2:
Density functional theory data (GGA-PBE) for a relaxed VZn2 crystal.

a = 2.592 Å, b = 2.592 Å, c = 13.018 Å
α = 95.71°, β = 95.71°, γ = 90.00°
Element x y z (fractional)
Zn (0.671, 0.171, 0.342)
Zn (0.421, 0.421, 0.842)
Zn (0.829, 0.329, 0.658)
Zn (0.579, 0.579, 0.158)
V (0.250, 0.750, 0.500)
V (0.000, 0.000, 0.000)

Space group = I4_1/amd (141)
Crystal system = tetragonal
Calculated formation energy = 0.056 eV per atom

Entry 3:
Density functional theory data (GGA-PBE) for a relaxed TiCrTe2 crystal.

a = 4.866 Å, b = 4.866 Å, c = 4.866 Å
α = 60.00°, β = 60.00°, γ = 60.00°
Element x y z (fractional)
Cr (0.500, 0.500, 0.500)
Te (0.250, 0.250, 0.250)
Te (0.750, 0.750, 0.750)
Ti (0.000, 0.000, 0.000)

ΔE to the lowest computed polymorph = 0.155 eV per formula unit
Space group = Fm-3m (225)
Crystal system = cubic
Uncorrected formation energy = -0.04 eV/atom

Entry 4:
Density functional theory data (GGA-PBE) for a relaxed BaVSi3 crystal.

a = 4.732 Å, b = 4.732 Å, c = 4.732 Å
α = 90.00°, β = 90.00°, γ = 90.00°
Element x y z (fractional)
Si (0.500, 0.000, 0.000)
Si (0.000, 0.500, 0.000)
Si (0.000, 0.000, 0.500)
V (0.000, 0.000, 0.000)
Ba (0.500, 0.500, 0.500)

ΔE to the lowest computed polymorph = 0.000 eV per formula unit
Space group = Pm-3m (221)
Crystal system = cubic
Uncorrected formation energy = -0.17 eV/atom

Entry 5:
Density functional theory data (GGA-PBE) for a relaxed Zn2BiRu2 crystal.

a = 7.060 Å, b = 7.060 Å, c = 3.392 Å
α = 90.00°, β = 90.00°, γ = 90.00°
Element x y z (fractional)
Ru (0.850, 0.650, 0.000)
Ru (0.650, 0.150, 0.000)
Ru (0.150, 0.350, 0.000)
Ru (0.350, 0.850, 0.000)
Bi (0.500, 0.500, 0.000)
Bi (0.000, 0.000, 0.000)
Zn (0.141, 0.641, 0.500)
Zn (0.359, 0.141, 0.500)
Zn (0.859, 0.359, 0.500)
Zn (0.641, 0.859, 0.500)

ΔE to the lowest computed polymorph = 0.000 eV per formula unit
Space group = P4/mbm (127)
Crystal system = tetragonal
Calculated formation energy = 0.249 eV per atom

Entry 6:
Density functional theory data (GGA-PBE) for a relaxed VPt2Rh crystal.

a = 4.389 Å, b = 4.389 Å, c = 4.389 Å
α = 60.00°, β = 60.00°, γ = 60.00°
Element x y z (fractional)
V (0.000, 0.000, 0.000)
Rh (0.500, 0.500, 0.500)
Pt (0.250, 0.250, 0.250)
Pt (0.750, 0.750, 0.750)

Space group = Fm-3m (225)
Crystal system = cubic
Calculated formation energy = -0.149 eV per atom

Entry 7:
Density functional theory data (GGA-PBE) for a relaxed Cs5CdO crystal.

a = 9.725 Å, b = 9.725 Å, c = 12.393 Å
α = 71.38°, β = 71.38°, γ = 53.72°
Element x y z (fractional)
Cd (0.500, 0.500, 0.250)
Cd (0.500, 0.500, 0.750)
Cs (0.642, 0.109, 0.065)
Cs (0.007, 0.993, 0.250)
Cs (0.993, 0.007, 0.750)
Cs (0.109, 0.642, 0.565)
Cs (0.886, 0.359, 0.941)
Cs (0.114, 0.641, 0.059)
Cs (0.359, 0.886, 0.441)
Cs (0.641, 0.114, 0.559)
Cs (0.891, 0.358, 0.435)
Cs (0.358, 0.891, 0.935)
O (0.000, 0.000, 0.000)
O (0.000, 0.000, 0.500)

Space group = C2/c (15)
Crystal system = monoclinic
Uncorrected formation energy = -0.42 eV/atom

Entry 8:
Density functional theory data (GGA-PBE) for a relaxed ErPu2Ru crystal.

a = 3.334 Å, b = 3.334 Å, c = 10.600 Å
α = 80.95°, β = 80.95°, γ = 60.00°
Element x y z (fractional)
Er (0.000, 0.000, 0.000)
Ru (0.500, 0.500, 0.500)
Pu (0.101, 0.101, 0.696)
Pu (0.899, 0.899, 0.304)

ΔE to the lowest computed polymorph = 1.031 eV per formula unit
Space group = R-3m (166)
Crystal system = trigonal
Calculated formation energy = 0.262 eV per atom

Record order is preserved below.
M_tot: 0.00, 0.00, 2.19, 0.00, 0.00, 0.00, 0.00, 10.95 μB/cell
Record order is preserved below.
Density of states at the Fermi level: 0.892, 0.852, 1.044, 0.290, 1.597, 0.984, 0.586, 3.328 states/eV per atom